(1)
{"formula": "GaHO2", "functional": "PBEsol", "state": "relaxed", "cell": [[3.0474, 0.0000, 0.0000], [-0.0020, 4.9593, 0.0000], [-1.5201, -1.0162, 4.8950]], "species": ["Ga", "Ga", "H", "H", "O", "O", "O", "O"], "frac_coords": [[0.0000, 0.0000, 0.0000], [0.3524, 0.4793, 0.7045], [0.1112, 0.4369, 0.2188], [0.7175, 0.7826, 0.4341], [0.1645, 0.2919, 0.3275], [0.5284, 0.7987, 0.0572], [0.8084, 0.7286, 0.6159], [0.9111, 0.2974, 0.8223]], "magmom_total_mub_per_cell": 0.0, "spacegroup": "No. 1", "total_energy_ev_per_atom": -5.809}

(2)
{"formula": "GaP3H2O10", "functional": "PBEsol", "state": "relaxed", "cell": [[7.3587, 0.0000, 0.0000], [0.0000, 8.7181, 0.0000], [-4.8259, 0.0000, 11.3594]], "species": ["Ga", "Ga", "Ga", "Ga", "P", "P", "P", "P", "P", "P", "P", "P", "P", "P", "P", "P", "H", "H", "H", "H", "H", "H", "H", "H", "O", "O", "O", "O", "O", "O", "O", "O", "O", "O", "O", "O", "O", "O", "O", "O", "O", "O", "O", "O", "O", "O", "O", "O", "O", "O", "O", "O", "O", "O", "O", "O", "O", "O", "O", "O", "O", "O", "O", "O"], "frac_coords": [[0.2468, 0.0634, 0.2949], [0.2468, 0.4366, 0.7949], [0.7532, 0.5634, 0.2051], [0.7532, 0.9366, 0.7051], [0.1448, 0.1129, 0.8656], [0.1448, 0.3871, 0.3656], [0.2972, 0.6195, 0.0252], [0.2972, 0.8805, 0.5252], [0.3595, 0.1159, 0.7080], [0.3595, 0.3841, 0.2080], [0.6405, 0.6159, 0.7920], [0.6405, 0.8841, 0.2920], [0.7028, 0.1195, 0.4748], [0.7028, 0.3805, 0.9748], [0.8552, 0.6129, 0.6344], [0.8552, 0.8871, 0.1344], [0.2690, 0.6794, 0.6233], [0.2690, 0.8206, 0.1233], [0.2769, 0.1426, 0.0621], [0.2769, 0.3574, 0.5621], [0.7231, 0.6426, 0.4379], [0.7231, 0.8574, 0.9379], [0.7310, 0.1794, 0.8767], [0.7310, 0.3206, 0.3767], [0.0322, 0.5095, 0.6614], [0.0322, 0.9905, 0.1614], [0.0952, 0.2215, 0.3299], [0.0952, 0.2785, 0.8299], [0.1889, 0.7429, 0.5525], [0.1889, 0.7571, 0.0525], [0.2008, 0.5886, 0.8951], [0.2008, 0.9114, 0.3951], [0.2465, 0.0291, 0.5881], [0.2465, 0.4709, 0.0881], [0.2741, 0.0441, 0.7957], [0.2741, 0.4559, 0.2957], [0.2923, 0.0872, 0.9939], [0.2923, 0.4128, 0.4939], [0.3014, 0.2166, 0.1847], [0.3014, 0.2834, 0.6847], [0.4207, 0.5833, 0.7464], [0.4207, 0.9167, 0.2464], [0.4813, 0.1411, 0.4223], [0.4813, 0.3589, 0.9223], [0.5187, 0.6411, 0.0777], [0.5187, 0.8589, 0.5777], [0.5793, 0.0833, 0.7536], [0.5793, 0.4167, 0.2536], [0.6986, 0.7166, 0.3153], [0.6986, 0.7834, 0.8153], [0.7077, 0.5872, 0.5061], [0.7077, 0.9128, 0.0061], [0.7259, 0.5441, 0.7043], [0.7259, 0.9559, 0.2043], [0.7535, 0.5291, 0.9119], [0.7535, 0.9709, 0.4119], [0.7992, 0.0886, 0.6049], [0.7992, 0.4114, 0.1049], [0.8111, 0.2429, 0.9475], [0.8111, 0.2571, 0.4475], [0.9048, 0.7215, 0.1701], [0.9048, 0.7785, 0.6701], [0.9678, 0.0095, 0.8386], [0.9678, 0.4905, 0.3386]], "magmom_total_mub_per_cell": 0.0, "spacegroup": "No. 14", "total_energy_ev_per_atom": -6.933}

(3)
{"formula": "RbGa2P2H5O11", "functional": "PBEsol", "state": "relaxed", "cell": [[9.6643, 0.0000, 0.0000], [0.0000, 9.5145, 0.0000], [-7.6217, 0.0000, 9.4568]], "species": ["Rb", "Rb", "Rb", "Rb", "Ga", "Ga", "Ga", "Ga", "Ga", "Ga", "Ga", "Ga", "P", "P", "P", "P", "P", "P", "P", "P", "H", "H", "H", "H", "H", "H", "H", "H", "H", "H", "H", "H", "H", "H", "H", "H", "H", "H", "H", "H", "O", "O", "O", "O", "O", "O", "O", "O", "O", "O", "O", "O", "O", "O", "O", "O", "O", "O", "O", "O", "O", "O", "O", "O", "O", "O", "O", "O", "O", "O", "O", "O", "O", "O", "O", "O", "O", "O", "O", "O", "O", "O", "O", "O"], "frac_coords": [[0.1165, 0.1888, 0.1019], [0.1165, 0.3112, 0.6019], [0.8835, 0.6888, 0.3981], [0.8835, 0.8112, 0.8981], [0.2207, 0.7240, 0.8130], [0.2207, 0.7760, 0.3130], [0.4791, 0.0492, 0.8710], [0.4791, 0.4508, 0.3710], [0.5209, 0.5492, 0.6290], [0.5209, 0.9508, 0.1290], [0.7793, 0.2240, 0.6870], [0.7793, 0.2760, 0.1870], [0.1441, 0.0246, 0.8512], [0.1441, 0.4754, 0.3512], [0.3407, 0.6788, 0.1288], [0.3407, 0.8212, 0.6288], [0.6593, 0.1788, 0.3712], [0.6593, 0.3212, 0.8712], [0.8559, 0.5246, 0.6488], [0.8559, 0.9754, 0.1488], [0.1488, 0.1416, 0.3783], [0.1488, 0.3584, 0.8783], [0.3054, 0.0867, 0.5360], [0.3054, 0.4133, 0.0360], [0.3427, 0.0305, 0.3963], [0.3427, 0.4695, 0.8963], [0.4358, 0.5232, 0.8234], [0.4358, 0.9768, 0.3234], [0.4473, 0.2069, 0.0232], [0.4473, 0.2931, 0.5232], [0.5527, 0.7069, 0.4768], [0.5527, 0.7931, 0.9768], [0.5642, 0.0232, 0.6766], [0.5642, 0.4768, 0.1766], [0.6573, 0.5305, 0.1037], [0.6573, 0.9695, 0.6037], [0.6946, 0.5867, 0.9640], [0.6946, 0.9133, 0.4640], [0.8512, 0.6416, 0.1217], [0.8512, 0.8584, 0.6217], [0.0037, 0.6173, 0.6780], [0.0037, 0.8827, 0.1780], [0.0645, 0.6197, 0.2756], [0.0645, 0.8803, 0.7756], [0.2158, 0.7297, 0.1575], [0.2158, 0.7703, 0.6575], [0.2298, 0.6636, 0.9684], [0.2298, 0.8364, 0.4684], [0.2400, 0.0908, 0.7988], [0.2400, 0.4092, 0.2988], [0.2742, 0.0018, 0.0143], [0.2742, 0.4982, 0.5143], [0.2807, 0.1450, 0.4575], [0.2807, 0.3550, 0.9575], [0.3556, 0.5483, 0.8466], [0.3556, 0.9517, 0.3466], [0.4137, 0.5276, 0.1936], [0.4137, 0.9724, 0.6936], [0.4483, 0.6450, 0.4408], [0.4483, 0.8550, 0.9408], [0.4942, 0.2273, 0.8041], [0.4942, 0.2727, 0.3041], [0.5058, 0.7273, 0.6959], [0.5058, 0.7727, 0.1959], [0.5517, 0.1450, 0.0592], [0.5517, 0.3550, 0.5592], [0.5863, 0.0276, 0.3064], [0.5863, 0.4724, 0.8064], [0.6444, 0.0483, 0.6534], [0.6444, 0.4517, 0.1534], [0.7193, 0.6450, 0.0425], [0.7193, 0.8550, 0.5425], [0.7258, 0.5018, 0.4857], [0.7258, 0.9982, 0.9857], [0.7600, 0.5908, 0.7012], [0.7600, 0.9092, 0.2012], [0.7702, 0.1636, 0.5316], [0.7702, 0.3364, 0.0316], [0.7842, 0.2297, 0.3425], [0.7842, 0.2703, 0.8425], [0.9355, 0.1197, 0.2244], [0.9355, 0.3803, 0.7244], [0.9963, 0.1173, 0.8220], [0.9963, 0.3827, 0.3220]], "magmom_total_mub_per_cell": 0.0, "spacegroup": "No. 14", "total_energy_ev_per_atom": -6.250}

(4)
{"formula": "Ga2Te3H6O12", "functional": "PBEsol", "state": "relaxed", "cell": [[4.6632, 2.6923, 6.5622], [-4.6632, 2.6923, 6.5622], [0.0000, -5.3846, 6.5622]], "species": ["Ga", "Ga", "Ga", "Ga", "Te", "Te", "Te", "Te", "Te", "Te", "H", "H", "H", "H", "H", "H", "H", "H", "H", "H", "H", "H", "O", "O", "O", "O", "O", "O", "O", "O", "O", "O", "O", "O", "O", "O", "O", "O", "O", "O", "O", "O", "O", "O", "O", "O"], "frac_coords": [[0.0000, 0.0000, 0.0000], [0.2482, 0.2482, 0.2482], [0.5000, 0.5000, 0.5000], [0.7482, 0.7482, 0.7482], [0.1470, 0.7778, 0.6920], [0.1920, 0.2778, 0.6470], [0.2778, 0.6470, 0.1920], [0.6470, 0.1920, 0.2778], [0.6920, 0.1470, 0.7778], [0.7778, 0.6920, 0.1470], [0.2206, 0.9534, 0.2488], [0.2488, 0.2206, 0.9534], [0.2890, 0.4145, 0.8973], [0.3973, 0.9145, 0.7890], [0.4145, 0.8973, 0.2890], [0.4534, 0.7206, 0.7488], [0.7206, 0.7488, 0.4534], [0.7488, 0.4534, 0.7206], [0.7890, 0.3973, 0.9145], [0.8973, 0.2890, 0.4145], [0.9145, 0.7890, 0.3973], [0.9534, 0.2488, 0.2206], [0.0845, 0.8626, 0.2167], [0.1217, 0.7785, 0.9264], [0.1386, 0.4873, 0.2797], [0.2167, 0.0845, 0.8626], [0.2324, 0.3215, 0.9977], [0.2785, 0.6217, 0.4264], [0.2797, 0.1386, 0.4873], [0.3215, 0.9977, 0.2324], [0.3626, 0.5845, 0.7167], [0.4264, 0.2785, 0.6217], [0.4873, 0.2797, 0.1386], [0.4977, 0.8215, 0.7324], [0.5845, 0.7167, 0.3626], [0.6217, 0.4264, 0.2785], [0.6386, 0.7797, 0.9873], [0.7167, 0.3626, 0.5845], [0.7324, 0.4977, 0.8215], [0.7785, 0.9264, 0.1217], [0.7797, 0.9873, 0.6386], [0.8215, 0.7324, 0.4977], [0.8626, 0.2167, 0.0845], [0.9264, 0.1217, 0.7785], [0.9873, 0.6386, 0.7797], [0.9977, 0.2324, 0.3215]], "magmom_total_mub_per_cell": 0.0, "spacegroup": "No. 161", "total_energy_ev_per_atom": -5.569}